# 1
PrMgIrAu: optimized geometry, PBE.

Values from the calculation:
Calculated volume in Å³/f.u.: 84.39
Calculated formation energy in eV/atom: -0.460
Space-group type: F-43m (216)

a = 4.924 Å, b = 4.924 Å, c = 4.924 Å
α = 60.00°, β = 60.00°, γ = 60.00°
Positions (direct):
1 Pr 0.000 0.000 0.000
2 Mg 0.500 0.500 0.500
3 Ir 0.250 0.250 0.250
4 Au 0.750 0.750 0.750

# 2
RbMgIr2Au: optimized geometry, PBE.

Values from the calculation:
Calculated volume in Å³/f.u.: 129.85
Calculated formation energy in eV/atom: 1.074
Space-group type: P4/mmm (123)

a = 5.100 Å, b = 5.100 Å, c = 4.992 Å
α = 90.00°, β = 90.00°, γ = 90.00°
Positions (direct):
1 Rb 0.000 0.000 0.000
2 Mg 0.500 0.500 0.000
3 Ir 0.000 0.500 0.500
4 Ir 0.500 0.000 0.500
5 Au 0.500 0.500 0.500

# 3
MgReIr2Au: optimized geometry, PBE.

Values from the calculation:
Calculated volume in Å³/f.u.: 108.94
Calculated formation energy in eV/atom: 1.274
Space-group type: P4/mmm (123)

a = 4.706 Å, b = 4.706 Å, c = 4.918 Å
α = 90.00°, β = 90.00°, γ = 90.00°
Positions (direct):
1 Mg 0.000 0.000 0.000
2 Re 0.000 0.000 0.500
3 Ir 0.000 0.500 0.500
4 Ir 0.500 0.000 0.500
5 Au 0.500 0.500 0.000